1.
! CaAlSe2O8, optimized geometry, DFT PBE; values from VASP
&SYSTEM
  ibrav = 0, nat = 12, ntyp = 4
/
ATOMIC_SPECIES
Ca 40.08 Ca.upf
Al 26.98 Al.upf
Se 78.96 Se.upf
O 16.00 O.upf
ATOMIC_POSITIONS crystal
Ca 0.000 0.000 0.500
Al 0.000 0.000 0.000
Se 0.333 0.667 0.751
Se 0.667 0.333 0.249
O 0.152 0.304 0.809
O 0.152 0.848 0.809
O 0.696 0.848 0.809
O 0.304 0.152 0.191
O 0.667 0.333 0.501
O 0.333 0.667 0.499
O 0.848 0.696 0.191
O 0.848 0.152 0.191
CELL_PARAMETERS angstrom
-4.072 0.898 -3.542
3.019 -4.546 -0.398
-4.167 -3.118 4.001
! Total DFT energy (no corrections) (eV/atom): -5.794
! Density (Mg/m³): 3.4
! Uncorrected formation energy (kcal/mol of atoms): -32.96
! SG: P-3m1, No. 164

=====

2.
! Hf13Tl3, optimized geometry, DFT PBE; values from VASP
&SYSTEM
  ibrav = 0, nat = 16, ntyp = 2
/
ATOMIC_SPECIES
Hf 178.49 Hf.upf
Tl 204.38 Tl.upf
ATOMIC_POSITIONS crystal
Hf 0.533 0.956 0.251
Hf 0.458 0.542 0.259
Hf 0.044 0.467 0.251
Hf 0.793 0.695 0.000
Hf 0.305 0.207 0.000
Hf 0.211 0.789 0.000
Hf 0.533 0.956 0.749
Hf 0.458 0.542 0.741
Hf 0.044 0.467 0.749
Hf 0.707 0.293 0.500
Hf 0.794 0.708 0.500
Hf 0.292 0.206 0.500
Hf 0.212 0.788 0.500
Tl 0.956 0.044 0.246
Tl 0.706 0.294 0.000
Tl 0.956 0.044 0.754
CELL_PARAMETERS angstrom
7.520 -0.276 0.000
-0.303 7.519 0.000
0.000 0.000 6.400
! Total DFT energy (no corrections) (eV/atom): -8.482
! Density (Mg/m³): 13.5
! DFT formation energy (eV per atom): 0.0485
! SG: Amm2, No. 38

=====

3.
! Pr4Sm7Hg, optimized geometry, DFT PBE; values from VASP
&SYSTEM
  ibrav = 0, nat = 12, ntyp = 3
/
ATOMIC_SPECIES
Pr 140.91 Pr.upf
Sm 150.36 Sm.upf
Hg 200.59 Hg.upf
ATOMIC_POSITIONS crystal
Pr 0.667 0.333 0.086
Pr 0.333 0.667 0.914
Pr 0.667 0.333 0.344
Pr 0.333 0.667 0.656
Sm 0.000 0.000 0.000
Sm 0.667 0.333 0.571
Sm 0.333 0.667 0.429
Sm 0.667 0.333 0.827
Sm 0.333 0.667 0.173
Sm 0.000 0.000 0.257
Sm 0.000 0.000 0.743
Hg 0.000 0.000 0.500
CELL_PARAMETERS angstrom
-0.106 -3.604 -0.711
2.725 2.061 -1.354
18.875 -6.191 28.574
! Total DFT energy (no corrections) (eV/atom): -4.417
! Density (Mg/m³): 7.4
! DFT formation energy (eV per atom): -0.0456
! SG: P-3m1, No. 164

=====

4.
! TlAsIr2, optimized geometry, DFT PBE; values from VASP
&SYSTEM
  ibrav = 0, nat = 4, ntyp = 3
/
ATOMIC_SPECIES
Tl 204.38 Tl.upf
Ir 192.22 Ir.upf
As 74.92 As.upf
ATOMIC_POSITIONS crystal
Tl 0.000 0.000 0.475
Ir 0.000 0.000 0.961
Ir 0.500 0.500 0.228
As 0.500 0.500 0.835
CELL_PARAMETERS angstrom
3.403 0.000 0.000
0.000 3.403 0.000
0.000 0.000 6.304
! E above lowest polymorph (meV per atom): 118
! Total DFT energy (no corrections) (eV/atom): -5.823
! Density (Mg/m³): 15.1
! DFT formation energy (eV per atom): 0.3618
! SG: P4mm, No. 99

=====

5.
! MgRh2Pb2, optimized geometry, DFT PBE; values from VASP
&SYSTEM
  ibrav = 0, nat = 10, ntyp = 3
/
ATOMIC_SPECIES
Pb 207.20 Pb.upf
Mg 24.30 Mg.upf
Rh 102.91 Rh.upf
ATOMIC_POSITIONS crystal
Pb 0.352 0.852 0.000
Pb 0.852 0.648 0.000
Pb 0.648 0.148 0.000
Pb 0.148 0.352 0.000
Mg 0.000 0.000 0.000
Mg 0.500 0.500 0.000
Rh 0.150 0.650 0.500
Rh 0.650 0.850 0.500
Rh 0.850 0.350 0.500
Rh 0.350 0.150 0.500
CELL_PARAMETERS angstrom
-2.319 -5.365 5.338
6.371 -4.398 -1.652
1.674 1.562 2.297
! E above lowest polymorph (meV per atom): 253
! Total DFT energy (no corrections) (eV/atom): -4.703
! Density (Mg/m³): 10.5
! DFT formation energy (eV per atom): 0.0403
! SG: P4/mbm, No. 127

=====

6.
! NbTlRu2I, optimized geometry, DFT PBE; values from VASP
&SYSTEM
  ibrav = 0, nat = 5, ntyp = 4
/
ATOMIC_SPECIES
I 126.90 I.upf
Ru 101.07 Ru.upf
Tl 204.38 Tl.upf
Nb 92.91 Nb.upf
ATOMIC_POSITIONS crystal
I 0.500 0.500 0.500
Ru 0.000 0.000 0.500
Ru 0.500 0.000 0.000
Tl 0.000 0.500 0.000
Nb 0.000 0.000 0.000
CELL_PARAMETERS angstrom
4.811 0.000 0.000
0.000 5.728 0.000
0.000 0.000 4.811
! Total DFT energy (no corrections) (eV/atom): -5.251
! Density (Mg/m³): 7.8
! Uncorrected formation energy (kcal/mol of atoms): 28.97
! SG: P4/mmm, No. 123